Compound: Te8Pt3Rh
Source: Alexandria via LeMat-Bulk
Functional: PBE
Structure: relaxed

The energy relative to the elements, uncorrected is -0.384 eV per atom. The value obtained for the total energy is -110.44 eV for the cell shown.

Cell: 12.8730 8.0468 7.6661 Å, 90.00 121.53 90.00°
With the nearest neighbours (Å) after each atom.
Space group C2/m (No. 12)
Symmetry-distinct sites (fractional):
Te1 0.0048 0.2464 0.2374 x8  1 Rh 2.67, 2 Pt 2.71
Te2 0.2416 0.0000 0.2554 x4  1 Rh 2.67, 2 Pt 2.71
Te3 0.2437 0.5000 0.2606 x4  3 Pt 2.70
Pt1 0.0000 0.5000 0.0000 x2  6 Te 2.70-2.71
Pt2 0.2500 0.2500 0.5000 x4  6 Te 2.70-2.71
Rh1 0.0000 0.0000 0.0000 x2  6 Te 2.67